DFT (PBE-GGA) results for a relaxed structure of Ac8Ru2Pb.

Output
**Size of the total moment**: 0.00 μB/cell
**Density of states at the Fermi level**: 25.1 states/eV/cell
**Formation energy from the elements**: -0.11 eV/atom
**E**: -5.123 eV per atom

Cell lengths 13.9974, 9.1420, 6.8473 Å; angles 90.00, 94.23, 90.00 degrees
Closest atoms and distances in Å follow each position.
Space group C2/m (No. 12)
Symmetry-distinct sites (fractional):
Ac 0.1197 0.0000 0.1855 (multiplicity 4)  1 Ru 2.88
Ac 0.1318 0.5000 0.1080 (multiplicity 4)  1 Ru 2.99
Ac 0.1474 0.2209 0.6730 (multiplicity 8)  2 Ru 3.00-3.05
Ru 0.2246 0.5000 0.5160 (multiplicity 4)  6 Ac 2.88-3.05, 1 Pb 3.14
Pb 0.0000 0.5000 0.5000 (multiplicity 2)  2 Ru 3.14, 6 Ac 3.37-3.44

***

DFT (PBE-GGA) results for a relaxed structure of Ac12Ru6Pb.

Output
**Size of the total moment**: 0.00 μB/cell
**Density of states at the Fermi level**: 38.1 states/eV/cell
**Formation energy from the elements**: -0.17 eV/atom
**E**: -5.887 eV per atom

Cell lengths 10.7715, 10.7715, 10.7715 Å; angles 90.00, 90.00, 90.00 degrees
Closest atoms and distances in Å follow each position.
Space group Im-3 (No. 204)
Symmetry-distinct sites (fractional):
Ac 0.0000 0.1906 0.3082 (multiplicity 24)  3 Ru 2.91-3.18
Ru 0.0000 0.3811 0.5000 (multiplicity 12)  1 Ru 2.56
Pb 0.0000 0.0000 0.0000 (multiplicity 2)  12 Ac 3.90

***

DFT (PBE-GGA) results for a relaxed structure of Ac7Ru2Pb.

Output
**Size of the total moment**: 0.00 μB/cell
**Density of states at the Fermi level**: 17.1 states/eV/cell
**Formation energy from the elements**: -0.11 eV/atom
**E**: -5.215 eV per atom

Cell lengths 10.0504, 14.6924, 5.4719 Å; angles 90.00, 90.00, 90.00 degrees
Closest atoms and distances in Å follow each position.
Space group Cmmm (No. 65)
Symmetry-distinct sites (fractional):
Ac 0.0000 0.0000 0.0000 (multiplicity 2)  2 Ru 2.89
Ac 0.0000 0.2072 0.5000 (multiplicity 4)  2 Ru 2.74
Ac 0.1825 0.3688 0.0000 (multiplicity 8)  2 Ru 3.12-3.33
Ru 0.0000 0.1968 0.0000 (multiplicity 4)  3 Ac 2.74-2.89
Pb 0.0000 0.5000 0.5000 (multiplicity 2)  8 Ac 3.82

***

DFT (PBE-GGA) results for a relaxed structure of Ac7Ru2Pb3.

Output
**Size of the total moment**: 0.00 μB/cell
**Density of states at the Fermi level**: 17.4 states/eV/cell
**Formation energy from the elements**: -0.31 eV/atom
**E**: -5.179 eV per atom

Cell lengths 5.6526, 28.3052, 5.4864 Å; angles 90.00, 90.00, 90.00 degrees
Closest atoms and distances in Å follow each position.
Space group Cmmm (No. 65)
Symmetry-distinct sites (fractional):
Ac 0.0000 0.0000 0.0000 (multiplicity 2)  2 Ru 2.93
Ac 0.0000 0.0942 0.5000 (multiplicity 4)  2 Ru 2.76
Ac 0.0000 0.2077 0.0000 (multiplicity 4)  1 Ru 2.95
Ac 0.0000 0.3900 0.0000 (multiplicity 4)  2 Ru 2.83
Ru 0.0000 0.1035 0.0000 (multiplicity 4)  6 Ac 2.76-2.95
Pb 0.0000 0.3064 0.5000 (multiplicity 4)  10 Ac 3.62-3.99
Pb 0.0000 0.5000 0.5000 (multiplicity 2)  12 Ac 3.89-4.15

***

DFT (PBE-GGA) results for a relaxed structure of Ac12Ru5Pb3.

Output
**Size of the total moment**: 0.00 μB/cell
**Density of states at the Fermi level**: 121.6 states/eV/cell
**Formation energy from the elements**: -0.13 eV/atom
**E**: -5.474 eV per atom

Cell lengths 18.3158, 18.3158, 18.3158 Å; angles 90.00, 90.00, 90.00 degrees
Closest atoms and distances in Å follow each position.
Space group Ia-3d (No. 230)
Symmetry-distinct sites (fractional):
Ac 0.0306 0.0535 0.6492 (multiplicity 96)  2 Ru 2.71-2.96
Ru 0.0000 0.0000 0.0000 (multiplicity 16)  6 Ac 2.96
Ru 0.0000 0.2500 0.3750 (multiplicity 24)  4 Ac 2.71
Pb 0.0000 0.2500 0.1250 (multiplicity 24)  8 Ac 3.53-3.67

***

DFT (PBE-GGA) results for a relaxed structure of Ac5RuPb2.

Output
**Size of the total moment**: 0.00 μB/cell
**Density of states at the Fermi level**: 14.8 states/eV/cell
**Formation energy from the elements**: -0.42 eV/atom
**E**: -5.075 eV per atom

Cell lengths 9.0579, 13.2682, 4.8999 Å; angles 90.00, 90.00, 90.00 degrees
Closest atoms and distances in Å follow each position.
Space group Pbam (No. 55)
Symmetry-distinct sites (fractional):
Ac 0.0000 0.0000 0.0000 (multiplicity 2)  4 Pb 3.44
Ac 0.1307 0.3023 0.0000 (multiplicity 4)  1 Ru 2.88
Ac 0.1833 0.5672 0.5000 (multiplicity 4)  2 Ru 3.09
Ru 0.0000 0.5000 0.0000 (multiplicity 2)  6 Ac 2.88-3.09
Pb 0.0836 0.8275 0.5000 (multiplicity 4)  8 Ac 3.44-3.82

***

> size of the total moment of number 1 (Ac8Ru2Pb)?

0.00 μB/cell